Below is crystalline Ca2TbNd2 at its relaxed geometry, with properties calculated at the PBE-GGA level.

Properties
The energy comes out at -16.29 eV for the cell shown. The calculation puts the density of states at the Fermi level at 6.95 states/eV per cell. The formation energy comes out at 0.375 eV per atom. The energy relative to the lowest polymorph listed for this composition is 32.9 kJ per mole of atoms.

Cell lengths 9.363, 9.363, 9.363 Å; angles 151.28, 151.28, 41.07 degrees
Sites, in units of the cell vectors:
Ca (0.250, 0.750, 0.500)
Ca (0.750, 0.250, 0.500)
Tb (0.000, 0.000, 0.000)
Nd (0.412, 0.412, 0.000)
Nd (0.588, 0.588, 0.000)